A geometry-optimized Li2Ti3NiP6O24 structure. Source: the Alexandria database, functional PBEsol.

Summary:
**Calculated volume**: 11.9 A^3/atom
**Magnetic moment**: 0.0 μB/f.u.
**Formation energy from raw total energies**: -8088 kJ/mol of formula units

```
Li2Ti3NiP6O24
1.0
4.223 2.438 6.929
-4.223 2.438 6.929
0.000 -4.876 6.929
Li Ti Ni P O
2 3 1 6 24
direct
0.000 0.000 0.000 Li
0.492 0.492 0.492 Li
0.141 0.141 0.141 Ti
0.640 0.640 0.640 Ti
0.860 0.860 0.860 Ti
0.360 0.360 0.360 Ni
0.047 0.742 0.460 P
0.247 0.539 0.974 P
0.460 0.047 0.742 P
0.539 0.974 0.247 P
0.742 0.460 0.047 P
0.974 0.247 0.539 P
0.004 0.804 0.623 O
0.014 0.180 0.382 O
0.083 0.900 0.261 O
0.092 0.741 0.931 O
0.153 0.268 0.524 O
0.180 0.382 0.014 O
0.231 0.559 0.472 O
0.261 0.083 0.900 O
0.268 0.524 0.153 O
0.382 0.014 0.180 O
0.426 0.538 0.788 O
0.472 0.231 0.559 O
0.496 0.873 0.701 O
0.524 0.153 0.268 O
0.538 0.788 0.426 O
0.559 0.472 0.231 O
0.623 0.004 0.804 O
0.701 0.496 0.873 O
0.741 0.931 0.092 O
0.788 0.426 0.538 O
0.804 0.623 0.004 O
0.873 0.701 0.496 O
0.900 0.261 0.083 O
0.931 0.092 0.741 O
```


A geometry-optimized Li4VNi3P4O16 structure. Source: the Alexandria database, functional PBEsol.

Summary:
**Calculated volume**: 9.8 A^3/atom
**Magnetic moment**: 7.5 μB/f.u.
**Formation energy from raw total energies**: -5240 kJ/mol of formula units

```
Li4VNi3P4O16
1.0
4.668 0.000 0.000
0.000 5.893 0.000
-0.055 0.000 9.979
Li V Ni P O
4 1 3 4 16
direct
0.000 0.245 0.000 Li
0.000 0.755 0.000 Li
0.496 0.247 0.516 Li
0.496 0.753 0.516 Li
0.482 0.500 0.232 V
0.017 0.500 0.734 Ni
0.514 0.000 0.783 Ni
0.970 0.000 0.285 Ni
0.073 0.000 0.604 P
0.427 0.000 0.102 P
0.578 0.500 0.912 P
0.914 0.500 0.415 P
0.191 0.000 0.458 O
0.215 0.209 0.675 O
0.215 0.791 0.675 O
0.242 0.500 0.409 O
0.250 0.500 0.912 O
0.293 0.210 0.175 O
0.293 0.790 0.175 O
0.296 0.000 0.959 O
0.703 0.500 0.058 O
0.717 0.290 0.843 O
0.717 0.710 0.843 O
0.744 0.000 0.607 O
0.755 0.000 0.104 O
0.768 0.296 0.339 O
0.768 0.704 0.339 O
0.795 0.500 0.558 O
```


A geometry-optimized Li4V3NiP4O16 structure. Source: the Alexandria database, functional PBEsol.

Summary:
**Calculated volume**: 10.1 A^3/atom
**Magnetic moment**: 9.8 μB/f.u.
**Formation energy from raw total energies**: -5639 kJ/mol of formula units

```
Li4V3NiP4O16
1.0
4.672 0.000 0.000
0.000 5.973 0.000
-0.088 0.000 10.116
Li V Ni P O
4 3 1 4 16
direct
0.000 0.246 0.000 Li
0.000 0.754 0.000 Li
0.495 0.246 0.482 Li
0.495 0.754 0.482 Li
0.017 0.500 0.717 V
0.483 0.500 0.214 V
0.513 0.000 0.765 V
0.955 0.000 0.270 Ni
0.076 0.000 0.582 P
0.424 0.000 0.085 P
0.583 0.500 0.898 P
0.916 0.500 0.396 P
0.194 0.000 0.441 O
0.217 0.205 0.657 O
0.217 0.795 0.657 O
0.244 0.500 0.393 O
0.256 0.500 0.895 O
0.292 0.210 0.152 O
0.292 0.790 0.152 O
0.297 0.000 0.941 O
0.711 0.500 0.039 O
0.720 0.294 0.824 O
0.720 0.706 0.824 O
0.748 0.000 0.586 O
0.753 0.000 0.087 O
0.773 0.297 0.324 O
0.773 0.703 0.324 O
0.798 0.500 0.539 O
```